Compound: CrCuTcF
Source: the Alexandria database
Functional: PBE+U
Structure: optimized geometry

a = 2.697 Å, b = 4.293 Å, c = 9.764 Å
α = 90.00°, β = 90.00°, γ = 90.00°
Sites, in units of the cell vectors:
Cr  0.000  0.000  0.000
Cr  0.500  0.500  0.500
Cu  0.000  0.500  0.755
Cu  0.500  0.000  0.255
Tc  0.000  0.500  0.252
Tc  0.500  0.000  0.752
F  0.000  0.500  0.019
F  0.500  0.000  0.519

Calculated values
Calculated volume (Å³/cell): 113.1
Energy above the most stable polymorph in this dataset (eV/atom): 0.054